Below is a relaxed NdZrIrRu crystal, with properties calculated at the PBE level.

abc: 6.8135 6.8135 6.8135
angles: 90.00 90.00 90.00
With the nearest neighbours (Å) after each atom.
Space group F-43m (No. 216)
Inequivalent atoms, fractional coordinates:
Nd 0.0000 0.0000 0.0000 [4 per cell]  4 Ru 2.95, 4 Ir 2.95
Zr 0.0000 0.0000 0.5000 [4 per cell]  4 Ir 2.95, 4 Ru 2.95
Ir 0.2500 0.2500 0.2500 [4 per cell]  4 Zr 2.95, 4 Nd 2.95
Ru 0.2500 0.2500 0.7500 [4 per cell]  4 Zr 2.95, 4 Nd 2.95

- Uncorrected energy: -8.293 eV/atom

=====

Below is a relaxed Na5In2Hg crystal, with properties calculated at the PBE level.

abc: 4.7698 4.7698 19.5824
angles: 90.00 90.00 90.00
With the nearest neighbours (Å) after each atom.
Space group I4/mmm (No. 139)
Inequivalent atoms, fractional coordinates:
Na 0.0000 0.0000 0.0000 [2 per cell]  4 Hg 3.37, 8 Na 3.45
Na 0.0000 0.5000 0.1276 [8 per cell]  4 In 3.35-3.41, 6 Na 3.37-3.45, 2 Hg 3.45
In 0.0000 0.0000 0.2481 [4 per cell]  8 Na 3.35-3.41, 4 In 3.37
Hg 0.0000 0.0000 0.5000 [2 per cell]  12 Na 3.37-3.45

- Energy above the lowest structure with this stoichiometry: 0.000 eV/atom

=====

Below is a relaxed Te2IrNCl crystal, with properties calculated at the PBE level.

abc: 5.6189 5.6189 3.6333
angles: 90.00 90.00 90.00
With the nearest neighbours (Å) after each atom.
Space group P4/mmm (No. 123)
Inequivalent atoms, fractional coordinates:
Te 0.0000 0.5000 0.0000 [2 per cell]  2 Ir 2.81
Ir 0.0000 0.0000 0.0000 [1 per cell]  2 N 1.82
N 0.0000 0.0000 0.5000 [1 per cell]  2 Ir 1.82
Cl 0.5000 0.5000 0.5000 [1 per cell]  8 Te 3.35, 2 Cl 3.63

- Formation energy (no corrections): 372 meV/atom
- Energy above the lowest structure with this stoichiometry: 0.000 eV/atom

=====

Below is a relaxed RbBaAu4 crystal, with properties calculated at the PBE level.

abc: 8.5165 8.5165 8.5165
angles: 90.00 90.00 90.00
With the nearest neighbours (Å) after each atom.
Space group F-43m (No. 216)
Inequivalent atoms, fractional coordinates:
Rb 0.0000 0.0000 0.0000 [4 per cell]  12 Au 3.53, 4 Ba 3.69
Ba 0.2500 0.2500 0.2500 [4 per cell]  12 Au 3.53, 4 Rb 3.69
Au 0.1255 0.1255 0.6255 [16 per cell]  6 Au 3.00-3.02

- Energy above the lowest structure with this stoichiometry: 0.140 eV/atom

=====

Below is a relaxed NbI2O2 crystal, with properties calculated at the PBE level.

abc: 5.0396 5.0396 3.5710
angles: 90.00 90.00 90.00
With the nearest neighbours (Å) after each atom.
Space group P4/mmm (No. 123)
Inequivalent atoms, fractional coordinates:
Nb 0.0000 0.0000 0.0000 [1 per cell]  8 I 3.09
I 0.0000 0.5000 0.5000 [2 per cell]  2 O 2.52
O 0.5000 0.5000 0.0000 [1 per cell]  2 O 1.79
O 0.5000 0.5000 0.5000 [1 per cell]  2 O 1.79

- Formation energy (no corrections): 879 meV/atom
- Energy above the lowest structure with this stoichiometry: 1.680 eV/atom

=====

Below is a relaxed SrTcBr2 crystal, with properties calculated at the PBE level.

abc: 5.0739 4.1613 5.0948
angles: 90.00 96.00 90.00
With the nearest neighbours (Å) after each atom.
Space group P2/m (No. 10)
Inequivalent atoms, fractional coordinates:
Sr 0.0000 0.0000 0.0000 [1 per cell]  4 Br 3.07, 2 Tc 3.40
Tc 0.5000 0.0000 0.5000 [1 per cell]  4 Br 2.58
Br 0.2991 0.5000 0.7015 [2 per cell]  2 Tc 2.58

- Formation energy (no corrections): -196 meV/atom
- Energy above the lowest structure with this stoichiometry: 0.155 eV/atom

=====

Below is a relaxed SrAlH8Rh2 crystal, with properties calculated at the PBE level.

abc: 4.6831 4.6831 17.2331
angles: 90.00 90.00 120.00
With the nearest neighbours (Å) after each atom.
Space group R-3m (No. 166, hexagonal axes)
Inequivalent atoms, fractional coordinates:
Sr 0.0000 0.0000 0.0000 [3 per cell]  18 H 2.74
Al 0.0000 0.0000 0.5000 [3 per cell]  6 H 1.88
H 0.0000 0.0000 0.3064 [6 per cell]  1 Rh 1.60
H 0.0392 0.5196 0.0826 [18 per cell]  1 Rh 1.64, 1 H 1.79
Rh 0.0000 0.0000 0.2138 [6 per cell]  4 H 1.60-1.64

- Uncorrected energy: -4.134 eV/atom

=====

Below is a relaxed La3Pr6Y2Tm crystal, with properties calculated at the PBE level.

abc: 6.3853 11.0712 12.1438
angles: 90.00 100.11 90.00
With the nearest neighbours (Å) after each atom.
Space group C2/m (No. 12)
Inequivalent atoms, fractional coordinates:
La 0.0000 0.0000 0.0000 [2 per cell]  6 La 3.69, 6 Pr 3.73
La 0.0000 0.3333 0.0000 [4 per cell]  6 La 3.69, 6 Pr 3.72-3.73
Pr 0.2474 0.3340 0.7439 [8 per cell]  1 Tm 3.61, 2 Y 3.61, 6 Pr 3.67-3.70, 3 La 3.73
Pr 0.2494 0.0000 0.7442 [4 per cell]  1 Tm 3.61, 2 Y 3.62, 6 Pr 3.67-3.70, 3 La 3.72-3.73
Y 0.0000 0.1666 0.5000 [4 per cell]  6 Pr 3.61-3.62, 3 Tm 3.69, 3 Y 3.69
Tm 0.0000 0.5000 0.5000 [2 per cell]  6 Pr 3.61, 6 Y 3.69

- Uncorrected energy: -5.055 eV/atom

=====

Computed total magnetization (Bohr magnetons per cell) in order:
0.000, 0.000, 0.000, 0.000, 1.418, 1.010, 0.000, 0.000
Computed calculated density (g/cm³) in order:
11.10, 4.06, 7.19, 10.87, 6.93, 5.36, 5.00, 6.32